This record from Alexandria via LeMat-Bulk describes a relaxed PmPa4As5 crystal. The functional is PBE-GGA.

ΔE_f ... -1.1450 eV/atom
Crystal system ... monoclinic
Theoretical density ... 9.714 Mg/m³
Final energy ... -7.743 eV/atom

abc: 13.6504 4.1125 10.1096
angles: 90.00 119.57 90.00
Last column: nearest neighbours and their distance in Å.
Space group C2/m (No. 12)
Symmetry-distinct sites (fractional):
Pm 0.0000 0.0000 0.0000  6 As 2.94-2.96
Pa 0.0978 0.5000 0.3988  6 As 2.90-2.92
Pa 0.2007 0.0000 0.7959  6 As 2.89-2.91
As 0.0000 0.0000 0.5000  6 Pa 2.89-2.90
As 0.1050 0.5000 0.8989  4 Pa 2.89-2.92, 2 Pm 2.96
As 0.2005 0.0000 0.3040  5 Pa 2.90-2.91, 1 Pm 2.94